[1]
This record from the Alexandria database describes an optimized crystal structure of RbYZr. The functional is PBE.

Calculated values
**ΔE_f**: 168 kJ/mol of formula units
**Total magnetization**: 0.6 μB per formula unit
**Density of states at the Fermi level**: 15.7 states/eV per cell

Cell: 9.3165 5.3766 12.1267 Å, 90.00 104.70 90.00°
Closest atoms and distances in Å follow each position.
Atoms (fractional coordinates):
Rb 0.0000 0.0000 0.0000  1 Y 4.04, 3 Zr 4.10
Rb 0.2275 0.0000 0.6884  1 Y 4.04, 3 Zr 4.10
Rb 0.5000 0.5000 0.0000  1 Y 4.04, 3 Zr 4.10
Rb 0.7275 0.5000 0.6884  1 Y 4.04, 3 Zr 4.10
Y 0.1139 0.0000 0.3442  3 Y 3.10-3.11, 6 Zr 3.39
Y 0.4472 0.0000 0.3442  3 Y 3.10-3.11, 6 Zr 3.39
Y 0.6139 0.5000 0.3442  3 Y 3.10-3.11, 6 Zr 3.39
Y 0.9472 0.5000 0.3442  3 Y 3.10-3.11, 6 Zr 3.39
Zr 0.2422 0.5000 0.2282  1 Zr 2.73
Zr 0.3190 0.5000 0.4605  1 Zr 2.73
Zr 0.7422 0.0000 0.2282  1 Zr 2.73
Zr 0.8190 0.0000 0.4605  1 Zr 2.73

=====

[2]
This record from the Alexandria database describes an optimized crystal structure of RbYb3. The functional is PBE.

Calculated values
**ΔE_f**: 73 kJ/mol of formula units
**Total magnetization**: 0.6 μB per formula unit
**Density of states at the Fermi level**: 102.7 states/eV per cell

Cell: 5.7090 5.7090 11.2682 Å, 90.00 90.00 90.00°
Closest atoms and distances in Å follow each position.
Atoms (fractional coordinates):
Rb 0.0000 0.0000 0.0000  12 Yb 4.01-4.04
Rb 0.5000 0.5000 0.5000  12 Yb 4.01-4.04
Yb 0.0000 0.0000 0.5000  8 Yb 4.01, 4 Rb 4.04
Yb 0.0000 0.5000 0.2500  4 Rb 4.01, 8 Yb 4.01-4.04
Yb 0.0000 0.5000 0.7500  4 Rb 4.01, 8 Yb 4.01-4.04
Yb 0.5000 0.0000 0.2500  4 Rb 4.01, 8 Yb 4.01-4.04
Yb 0.5000 0.0000 0.7500  4 Rb 4.01, 8 Yb 4.01-4.04
Yb 0.5000 0.5000 0.0000  8 Yb 4.01, 4 Rb 4.04

=====

[3]
This record from the Alexandria database describes an optimized crystal structure of RbYb3. The functional is PBE.

Calculated values
**ΔE_f**: 76 kJ/mol of formula units
**Total magnetization**: 0.7 μB per formula unit
**Density of states at the Fermi level**: 50.3 states/eV per cell

Cell: 5.6842 5.6842 5.6842 Å, 90.00 90.00 90.00°
Closest atoms and distances in Å follow each position.
Atoms (fractional coordinates):
Rb 0.0000 0.0000 0.0000  12 Yb 4.02
Yb 0.0000 0.5000 0.5000  4 Rb 4.02, 8 Yb 4.02
Yb 0.5000 0.0000 0.5000  4 Rb 4.02, 8 Yb 4.02
Yb 0.5000 0.5000 0.0000  4 Rb 4.02, 8 Yb 4.02

=====

[4]
This record from the Alexandria database describes an optimized crystal structure of Rb6Yb. The functional is PBE.

Calculated values
**ΔE_f**: 288 kJ/mol of formula units
**Total magnetization**: 0.2 μB per formula unit
**Density of states at the Fermi level**: 47.1 states/eV per cell

Cell: 12.3341 12.3341 12.3341 Å, 90.00 90.00 90.00°
Closest atoms and distances in Å follow each position.
Atoms (fractional coordinates):
Rb 0.0000 0.2500 0.5000  4 Rb 4.36
Rb 0.0000 0.5000 0.2500  4 Rb 4.36
Rb 0.0000 0.5000 0.7500  4 Rb 4.36
Rb 0.0000 0.7500 0.5000  4 Rb 4.36
Rb 0.2500 0.0000 0.5000  4 Rb 4.36
Rb 0.2500 0.5000 0.0000  4 Rb 4.36
Rb 0.5000 0.0000 0.2500  4 Rb 4.36
Rb 0.5000 0.0000 0.7500  4 Rb 4.36
Rb 0.5000 0.2500 0.0000  4 Rb 4.36
Rb 0.5000 0.7500 0.0000  4 Rb 4.36
Rb 0.7500 0.0000 0.5000  4 Rb 4.36
Rb 0.7500 0.5000 0.0000  4 Rb 4.36
Yb 0.0000 0.0000 0.0000  none within 6
Yb 0.5000 0.5000 0.5000  none within 6

=====

[5]
This record from the Alexandria database describes an optimized crystal structure of RbYb. The functional is PBE.

Calculated values
**ΔE_f**: 42 kJ/mol of formula units
**Total magnetization**: 0.2 μB per formula unit
**Density of states at the Fermi level**: 17.6 states/eV per cell

Cell: 4.1867 4.1867 7.4794 Å, 90.00 90.00 120.00°
Closest atoms and distances in Å follow each position.
Atoms (fractional coordinates):
Rb 0.0000 0.0000 0.0000  6 Rb 4.19, 6 Yb 4.45
Yb 0.6667 0.3333 0.5000  6 Yb 4.19, 6 Rb 4.45

=====

[6]
This record from the Alexandria database describes an optimized crystal structure of RbYb3. The functional is PBE.

Calculated values
**ΔE_f**: 73 kJ/mol of formula units
**Total magnetization**: 0.2 μB per formula unit
**Density of states at the Fermi level**: 202.4 states/eV per cell

Cell: 9.0408 9.0408 9.0408 Å, 90.00 90.00 90.00°
Closest atoms and distances in Å follow each position.
Atoms (fractional coordinates):
Rb 0.0000 0.0000 0.0000  8 Yb 3.91
Rb 0.0000 0.5000 0.5000  8 Yb 3.91
Rb 0.5000 0.0000 0.5000  8 Yb 3.91
Rb 0.5000 0.5000 0.0000  8 Yb 3.91
Yb 0.0000 0.0000 0.5000  8 Yb 3.91
Yb 0.0000 0.5000 0.0000  8 Yb 3.91
Yb 0.2500 0.2500 0.2500  4 Rb 3.91, 4 Yb 3.91
Yb 0.2500 0.2500 0.7500  4 Rb 3.91, 4 Yb 3.91
Yb 0.2500 0.7500 0.2500  4 Rb 3.91, 4 Yb 3.91
Yb 0.2500 0.7500 0.7500  4 Rb 3.91, 4 Yb 3.91
Yb 0.5000 0.0000 0.0000  8 Yb 3.91
Yb 0.5000 0.5000 0.5000  8 Yb 3.91
Yb 0.7500 0.2500 0.2500  4 Rb 3.91, 4 Yb 3.91
Yb 0.7500 0.2500 0.7500  4 Rb 3.91, 4 Yb 3.91
Yb 0.7500 0.7500 0.2500  4 Rb 3.91, 4 Yb 3.91
Yb 0.7500 0.7500 0.7500  4 Rb 3.91, 4 Yb 3.91

=====

[7]
This record from the Alexandria database describes an optimized crystal structure of RbYb6. The functional is PBE.

Calculated values
**ΔE_f**: 501 kJ/mol of formula units
**Total magnetization**: 1.0 μB per formula unit
**Density of states at the Fermi level**: 189.8 states/eV per cell

Cell: 10.0302 10.0302 10.0302 Å, 90.00 90.00 90.00°
Closest atoms and distances in Å follow each position.
Atoms (fractional coordinates):
Rb 0.0000 0.0000 0.0000  24 Yb 5.61
Rb 0.5000 0.5000 0.5000  24 Yb 5.61
Yb 0.0000 0.2500 0.5000  4 Yb 3.55
Yb 0.0000 0.5000 0.2500  4 Yb 3.55
Yb 0.0000 0.5000 0.7500  4 Yb 3.55
Yb 0.0000 0.7500 0.5000  4 Yb 3.55
Yb 0.2500 0.0000 0.5000  4 Yb 3.55
Yb 0.2500 0.5000 0.0000  4 Yb 3.55
Yb 0.5000 0.0000 0.2500  4 Yb 3.55
Yb 0.5000 0.0000 0.7500  4 Yb 3.55
Yb 0.5000 0.2500 0.0000  4 Yb 3.55
Yb 0.5000 0.7500 0.0000  4 Yb 3.55
Yb 0.7500 0.0000 0.5000  4 Yb 3.55
Yb 0.7500 0.5000 0.0000  4 Yb 3.55

=====

[8]
This record from the Alexandria database describes an optimized crystal structure of RbZn2. The functional is PBE.

Calculated values
**ΔE_f**: 52 kJ/mol of formula units
**Total magnetization**: 0.0 μB per formula unit
**Density of states at the Fermi level**: 2.2 states/eV per cell

Cell: 6.1845 6.1845 6.1845 Å, 60.00 60.00 60.00°
Closest atoms and distances in Å follow each position.
Atoms (fractional coordinates):
Rb 0.1250 0.1250 0.1250  12 Zn 3.63, 4 Rb 3.79
Rb 0.8750 0.8750 0.8750  12 Zn 3.63, 4 Rb 3.79
Zn 0.0000 0.5000 0.5000  6 Zn 3.09
Zn 0.5000 0.0000 0.5000  6 Zn 3.09
Zn 0.5000 0.5000 0.0000  6 Zn 3.09
Zn 0.5000 0.5000 0.5000  6 Zn 3.09

=====

[9]
This record from the Alexandria database describes an optimized crystal structure of Rb12Zn. The functional is PBE.

Calculated values
**ΔE_f**: 89 kJ/mol of formula units
**Total magnetization**: 0.0 μB per formula unit
**Density of states at the Fermi level**: 12.2 states/eV per cell

Cell: 11.1915 11.1915 11.1915 Å, 109.47 109.47 109.47°
Closest atoms and distances in Å follow each position.
Atoms (fractional coordinates):
Rb 0.1311 0.8255 0.3057  10 Rb 4.51-5.02, 1 Zn 4.55
Rb 0.1745 0.3057 0.4802  10 Rb 4.51-5.02, 1 Zn 4.55
Rb 0.1745 0.6943 0.8689  10 Rb 4.51-5.02, 1 Zn 4.55
Rb 0.3057 0.1311 0.8255  10 Rb 4.51-5.02, 1 Zn 4.55
Rb 0.3057 0.4802 0.1745  10 Rb 4.51-5.02, 1 Zn 4.55
Rb 0.4802 0.1745 0.3057  10 Rb 4.51-5.02, 1 Zn 4.55
Rb 0.5198 0.8255 0.6943  10 Rb 4.51-5.02, 1 Zn 4.55
Rb 0.6943 0.5198 0.8255  10 Rb 4.51-5.02, 1 Zn 4.55
Rb 0.6943 0.8689 0.1745  10 Rb 4.51-5.02, 1 Zn 4.55
Rb 0.8255 0.3057 0.1311  10 Rb 4.51-5.02, 1 Zn 4.55
Rb 0.8255 0.6943 0.5198  10 Rb 4.51-5.02, 1 Zn 4.55
Rb 0.8689 0.1745 0.6943  10 Rb 4.51-5.02, 1 Zn 4.55
Zn 0.0000 0.0000 0.0000  12 Rb 4.55

=====

[10]
This record from the Alexandria database describes an optimized crystal structure of Rb6Zn. The functional is PBE.

Calculated values
**ΔE_f**: 269 kJ/mol of formula units
**Total magnetization**: 0.0 μB per formula unit
**Density of states at the Fermi level**: 13.2 states/eV per cell

Cell: 12.8799 12.8799 12.8799 Å, 90.00 90.00 90.00°
Closest atoms and distances in Å follow each position.
Atoms (fractional coordinates):
Rb 0.0000 0.2500 0.5000  4 Rb 4.55
Rb 0.0000 0.5000 0.2500  4 Rb 4.55
Rb 0.0000 0.5000 0.7500  4 Rb 4.55
Rb 0.0000 0.7500 0.5000  4 Rb 4.55
Rb 0.2500 0.0000 0.5000  4 Rb 4.55
Rb 0.2500 0.5000 0.0000  4 Rb 4.55
Rb 0.5000 0.0000 0.2500  4 Rb 4.55
Rb 0.5000 0.0000 0.7500  4 Rb 4.55
Rb 0.5000 0.2500 0.0000  4 Rb 4.55
Rb 0.5000 0.7500 0.0000  4 Rb 4.55
Rb 0.7500 0.0000 0.5000  4 Rb 4.55
Rb 0.7500 0.5000 0.0000  4 Rb 4.55
Zn 0.0000 0.0000 0.0000  none within 6
Zn 0.5000 0.5000 0.5000  none within 6